[1]
# PBE-GGA SbWSe2, relaxed
# Calculated volume, Å³/f.u.: 108.5
# Formation energy from raw total energies, eV per atom: -0.005
# Size of the total moment, μB/atom: 0.000
# Uncorrected energy, Ha/atom: -0.221
data_SbWSe2
_chemical_formula_sum 'Sb2 W2 Se4'
_space_group_name_H-M_alt 'C 1 m 1'
_space_group_IT_number 8
_cell_length_a 12.597
_cell_length_b 3.166
_cell_length_c 5.802
_cell_angle_alpha 90.00
_cell_angle_beta 110.28
_cell_angle_gamma 90.00
loop_
_space_group_symop_operation_xyz
'x,y,z'
'x,-y,z'
'x+1/2,y+1/2,z'
'x+1/2,-y+1/2,z'
loop_
_atom_site_label
_atom_site_fract_x
_atom_site_fract_y
_atom_site_fract_z
_atom_site_occupancy
Sb1 0.000 0.000 0.000 1
W1 0.159 0.500 0.365 1
Se1 0.154 0.000 0.696 1
Se2 0.305 0.000 0.334 1

***

[2]
# PBE-GGA Ac8La3Y2, relaxed
# Calculated volume, Å³/f.u.: 540.2
# Size of the total moment, μB/atom: 0.000
# Uncorrected energy, Ha/atom: -0.165
# ΔE_f, eV/atom: 0.17
data_Ac8La3Y2
_chemical_formula_sum 'Ac16 La6 Y4'
_space_group_name_H-M_alt 'C 1 2/m 1'
_space_group_IT_number 12
_cell_length_a 21.527
_cell_length_b 7.797
_cell_length_c 6.437
_cell_angle_alpha 90.00
_cell_angle_beta 90.20
_cell_angle_gamma 90.00
loop_
_space_group_symop_operation_xyz
'x,y,z'
'-x,-y,-z'
'-x,y,-z'
'x,-y,z'
'x+1/2,y+1/2,z'
'-x+1/2,-y+1/2,-z'
'-x+1/2,y+1/2,-z'
'x+1/2,-y+1/2,z'
loop_
_atom_site_label
_atom_site_fract_x
_atom_site_fract_y
_atom_site_fract_z
_atom_site_occupancy
Ac1 0.058 0.000 0.198 1
Ac2 0.146 0.236 0.751 1
Ac3 0.179 0.500 0.252 1
La1 0.000 0.308 0.500 1
La2 0.000 0.500 0.000 1
Y1 0.216 0.000 0.256 1